1 | MnCo2I: relaxed, PBE.

CIF file:
```
data_MnCo2I
_symmetry_space_group_name_H-M 'F m -3 m'
_symmetry_Int_Tables_number 225
_symmetry_space_group_name_Hall '-F 4 2 3'
_cell_length_a 6.208
_cell_length_b 6.208
_cell_length_c 6.208
_cell_angle_alpha 90.00
_cell_angle_beta 90.00
_cell_angle_gamma 90.00
loop_
_atom_site_label
_atom_site_fract_x
_atom_site_fract_y
_atom_site_fract_z
Mn1 0.000 0.000 0.000
Co1 0.250 0.250 0.250
I1 0.000 0.000 0.500
```

2 | MnCo2I: relaxed, PBE.

CIF file:
```
data_MnCo2I
_symmetry_space_group_name_H-M 'I -4 2 d'
_symmetry_Int_Tables_number 122
_symmetry_space_group_name_Hall 'I -4 2bw'
_cell_length_a 5.653
_cell_length_b 5.653
_cell_length_c 9.323
_cell_angle_alpha 90.00
_cell_angle_beta 90.00
_cell_angle_gamma 90.00
loop_
_atom_site_label
_atom_site_fract_x
_atom_site_fract_y
_atom_site_fract_z
Mn1 0.000 0.000 0.000
Co1 0.197 0.250 0.125
I1 0.000 0.000 0.500
```

Most stable: 1

1 | CoMoI2: relaxed, PBE.

CIF file:
```
data_CoMoI2
_symmetry_space_group_name_H-M 'F m -3 m'
_symmetry_Int_Tables_number 225
_symmetry_space_group_name_Hall '-F 4 2 3'
_cell_length_a 6.776
_cell_length_b 6.776
_cell_length_c 6.776
_cell_angle_alpha 90.00
_cell_angle_beta 90.00
_cell_angle_gamma 90.00
loop_
_atom_site_label
_atom_site_fract_x
_atom_site_fract_y
_atom_site_fract_z
Co1 0.000 0.000 0.000
Mo1 0.000 0.000 0.500
I1 0.250 0.250 0.250
```

2 | CoMoI2: relaxed, PBE.

CIF file:
```
data_CoMoI2
_symmetry_space_group_name_H-M 'I -4 2 d'
_symmetry_Int_Tables_number 122
_symmetry_space_group_name_Hall 'I -4 2bw'
_cell_length_a 5.926
_cell_length_b 5.926
_cell_length_c 11.812
_cell_angle_alpha 90.00
_cell_angle_beta 90.00
_cell_angle_gamma 90.00
loop_
_atom_site_label
_atom_site_fract_x
_atom_site_fract_y
_atom_site_fract_z
Co1 0.000 0.000 0.000
Mo1 0.000 0.000 0.500
I1 0.227 0.250 0.125
```

Most stable: 2

1 | CoMo2I: relaxed, PBE.

CIF file:
```
data_CoMo2I
_symmetry_space_group_name_H-M 'I -4 2 d'
_symmetry_Int_Tables_number 122
_symmetry_space_group_name_Hall 'I -4 2bw'
_cell_length_a 5.563
_cell_length_b 5.563
_cell_length_c 11.714
_cell_angle_alpha 90.00
_cell_angle_beta 90.00
_cell_angle_gamma 90.00
loop_
_atom_site_label
_atom_site_fract_x
_atom_site_fract_y
_atom_site_fract_z
Co1 0.000 0.000 0.000
Mo1 0.179 0.250 0.125
I1 0.000 0.000 0.500
```

2 | CoMo2I: relaxed, PBE.

CIF file:
```
data_CoMo2I
_symmetry_space_group_name_H-M 'F m -3 m'
_symmetry_Int_Tables_number 225
_symmetry_space_group_name_Hall '-F 4 2 3'
_cell_length_a 6.319
_cell_length_b 6.319
_cell_length_c 6.319
_cell_angle_alpha 90.00
_cell_angle_beta 90.00
_cell_angle_gamma 90.00
loop_
_atom_site_label
_atom_site_fract_x
_atom_site_fract_y
_atom_site_fract_z
Co1 0.000 0.000 0.000
Mo1 0.250 0.250 0.250
I1 0.000 0.000 0.500
```

Most stable: 2